## CaLaCrBiO6 (PBE with a Hubbard U)

Data for crystalline CaLaCrBiO6 at its relaxed geometry.

The density of states at the Fermi level is 2.28 states/eV/f.u. The total energy comes out at -7.05 eV per atom. As for the crystal system: monoclinic.

Geometry as CIF:
```
data_CaLaCrBiO6
_chemical_formula_sum 'Ca2 La2 Cr2 Bi2 O12'
_cell_length_a 5.683
_cell_length_b 5.902
_cell_length_c 9.902
_cell_angle_alpha 90.00
_cell_angle_beta 124.30
_cell_angle_gamma 90.00
_symmetry_space_group_name_H-M 'P 1 c 1'
_symmetry_Int_Tables_number 7
_symmetry_space_group_name_Hall 'P -2yc'
loop_
_atom_site_label
_atom_site_type_symbol
_atom_site_fract_x
_atom_site_fract_y
_atom_site_fract_z
Ca1 Ca 0.000 0.193 0.000
La1 La 0.464 0.306 0.500
Cr1 Cr 0.230 0.249 0.750
Bi1 Bi 0.730 0.246 0.249
O1 O 0.001 0.436 0.809
O2 O 0.114 0.034 0.315
O3 O 0.346 0.463 0.186
O4 O 0.457 0.063 0.691
O5 O 0.582 0.295 0.983
O6 O 0.884 0.199 0.516
```

## CaLaCrBiO6 (PBE with a Hubbard U)

Data for crystalline CaLaCrBiO6 at its relaxed geometry.

The density of states at the Fermi level is 1.85 states/eV/f.u. The total energy comes out at -6.82 eV per atom. As for the crystal system: cubic.

Geometry as CIF:
```
data_CaLaCrBiO6
_chemical_formula_sum 'Ca4 La4 Cr4 Bi4 O24'
_cell_length_a 8.245
_cell_length_b 8.245
_cell_length_c 8.245
_cell_angle_alpha 90.00
_cell_angle_beta 90.00
_cell_angle_gamma 90.00
_symmetry_space_group_name_H-M 'F -4 3 m'
_symmetry_Int_Tables_number 216
_symmetry_space_group_name_Hall 'F -4 2 3'
loop_
_atom_site_label
_atom_site_type_symbol
_atom_site_fract_x
_atom_site_fract_y
_atom_site_fract_z
Ca1 Ca 0.000 0.000 0.000
La1 La 0.000 0.000 0.500
Cr1 Cr 0.250 0.250 0.250
Bi1 Bi 0.250 0.250 0.750
O1 O 0.011 0.250 0.250
```

Number 1: M_tot 4.2 μB per cell. Number 2: M_tot 14.6 μB per cell.